Entry 1:
First-principles (GGA-PBE) data for a relaxed Li2ScAl2PdPt2 crystal, as listed in OQMD.

Geometry as POSCAR:
```
Li2ScAl2PdPt2
1.0
4.111 0.000 0.000
0.000 4.111 0.000
0.000 0.000 7.047
Li Sc Al Pd Pt
2 1 2 1 2
Direct
0.000 0.500 0.230 Li
0.500 0.000 0.770 Li
0.000 0.000 0.500 Sc
0.000 0.500 0.783 Al
0.500 0.000 0.217 Al
0.500 0.500 0.000 Pd
0.000 0.000 0.000 Pt
0.500 0.500 0.500 Pt
```

Values from the calculation:
Uncorrected energy (eV/atom): -5.15
Space-group type: No. 115
Spin magnetization (Bohr magnetons per cell): 0.01

---

Entry 2:
First-principles (GGA-PBE) data for a relaxed TaSbNO crystal, as listed in OQMD.

Geometry as POSCAR:
```
TaSbNO
1.0
6.298 0.000 0.000
0.000 8.282 0.000
0.000 0.000 5.907
Ta Sb N O
4 4 4 4
Direct
0.114 0.072 0.000 Ta
0.386 0.072 0.500 Ta
0.614 0.928 0.000 Ta
0.886 0.928 0.500 Ta
0.178 0.530 0.048 Sb
0.322 0.530 0.548 Sb
0.678 0.470 0.048 Sb
0.822 0.470 0.548 Sb
0.111 0.046 0.664 N
0.389 0.046 0.164 N
0.611 0.954 0.664 N
0.889 0.954 0.164 N
0.059 0.288 0.047 O
0.441 0.288 0.547 O
0.559 0.712 0.047 O
0.941 0.712 0.547 O
```

Values from the calculation:
Relative energy among the computed polymorphs (meV/atom): 0
Space-group type: No. 29
Spin magnetization (Bohr magnetons per cell): 0.00

---

Entry 3:
First-principles (GGA-PBE) data for a relaxed Nd2Dy2CI3Cl2 crystal, as listed in OQMD.

Geometry as POSCAR:
```
Nd2Dy2CI3Cl2
1.0
8.950 -1.973 0.000
8.950 1.973 0.000
-1.965 0.000 8.377
Nd Dy C I Cl
2 2 1 3 2
Direct
0.144 0.144 0.071 Nd
0.856 0.856 0.929 Nd
0.496 0.496 0.188 Dy
0.504 0.504 0.812 Dy
0.000 0.000 0.000 C
0.000 0.000 0.500 I
0.332 0.332 0.641 I
0.668 0.668 0.359 I
0.335 0.335 0.159 Cl
0.665 0.665 0.841 Cl
```

Values from the calculation:
Relative energy among the computed polymorphs (meV/atom): 23
Space-group type: No. 12
Spin magnetization (Bohr magnetons per cell): 0.31

---

Entry 4:
First-principles (GGA-PBE) data for a relaxed AcPd crystal, as listed in OQMD.

Geometry as POSCAR:
```
AcPd
1.0
3.727 0.000 0.000
-1.864 3.228 0.000
0.000 0.000 4.437
Ac Pd
1 1
Direct
0.000 0.000 0.000 Ac
0.667 0.333 0.500 Pd
```

Values from the calculation:
Uncorrected energy (eV/atom): -5.06
Space-group type: No. 187
Spin magnetization (Bohr magnetons per cell): 0.01

---

Entry 5:
First-principles (GGA-PBE) data for a relaxed Li2In2MoOs2W crystal, as listed in OQMD.

Geometry as POSCAR:
```
Li2In2MoOs2W
1.0
4.438 0.000 0.000
0.000 4.438 0.000
0.000 0.000 6.276
Li In Mo Os W
2 2 1 2 1
Direct
0.000 0.500 0.250 Li
0.500 0.000 0.750 Li
0.000 0.000 0.000 In
0.500 0.500 0.500 In
0.000 0.000 0.500 Mo
0.000 0.500 0.751 Os
0.500 0.000 0.249 Os
0.500 0.500 0.000 W
```

Values from the calculation:
Uncorrected energy (eV/atom): -6.89
Space-group type: No. 115
Spin magnetization (Bohr magnetons per cell): 0.00

---

Entry 6:
First-principles (GGA-PBE) data for a relaxed HfAgNO crystal, as listed in OQMD.

Geometry as POSCAR:
```
HfAgNO
1.0
3.533 0.000 0.000
0.000 6.974 0.000
0.000 0.000 5.863
Hf Ag N O
2 2 2 2
Direct
0.000 0.153 0.000 Hf
0.000 0.847 0.500 Hf
0.500 0.478 0.650 Ag
0.500 0.522 0.150 Ag
0.500 0.286 0.921 N
0.500 0.714 0.421 N
0.000 0.083 0.323 O
0.000 0.917 0.823 O
```

Values from the calculation:
Relative energy among the computed polymorphs (meV/atom): 0
Space-group type: No. 26
Spin magnetization (Bohr magnetons per cell): 0.00

---

Entry 7:
First-principles (GGA-PBE) data for a relaxed KMgNbNi crystal, as listed in OQMD.

Geometry as POSCAR:
```
KMgNbNi
1.0
0.000 3.506 3.506
3.506 0.000 3.506
3.506 3.506 0.000
K Mg Nb Ni
1 1 1 1
Direct
0.000 0.000 0.000 K
0.500 0.500 0.500 Mg
0.250 0.250 0.250 Nb
0.750 0.750 0.750 Ni
```

Values from the calculation:
Relative energy among the computed polymorphs (meV/atom): 295
Space-group type: No. 216
Spin magnetization (Bohr magnetons per cell): 3.52

---

Entry 8:
First-principles (GGA-PBE) data for a relaxed NaGdSeO crystal, as listed in OQMD.

Geometry as POSCAR:
```
NaGdSeO
1.0
5.688 0.000 0.000
0.000 5.691 0.000
-2.659 0.000 10.491
Na Gd Se O
4 4 4 4
Direct
0.044 0.000 0.095 Na
0.452 0.997 0.903 Na
0.548 0.497 0.097 Na
0.956 0.500 0.905 Na
0.049 0.260 0.604 Gd
0.450 0.261 0.397 Gd
0.550 0.761 0.603 Gd
0.951 0.760 0.396 Gd
0.089 0.498 0.185 Se
0.414 0.496 0.815 Se
0.586 0.996 0.185 Se
0.911 0.998 0.815 Se
0.250 0.011 0.500 O
0.250 0.512 0.500 O
0.750 0.012 0.500 O
0.750 0.511 0.500 O
```

Values from the calculation:
Relative energy among the computed polymorphs (meV/atom): 0
Space-group type: No. 4
Spin magnetization (Bohr magnetons per cell): 0.00

---

Entry 9:
First-principles (GGA-PBE) data for a relaxed InAgP2O7 crystal, as listed in OQMD.

Geometry as POSCAR:
```
InAgP2O7
1.0
7.481 0.000 0.000
0.000 8.237 0.000
-3.712 0.000 9.128
In Ag P O
4 4 8 28
Direct
0.245 0.003 0.248 In
0.245 0.497 0.748 In
0.755 0.503 0.252 In
0.755 0.997 0.752 In
0.206 0.026 0.692 Ag
0.206 0.474 0.192 Ag
0.794 0.526 0.808 Ag
0.794 0.974 0.308 Ag
0.176 0.713 0.453 P
0.176 0.787 0.953 P
0.418 0.249 0.535 P
0.418 0.251 0.035 P
0.582 0.749 0.965 P
0.582 0.751 0.465 P
0.824 0.213 0.047 P
0.824 0.287 0.547 P
0.046 0.586 0.353 O
0.046 0.914 0.853 O
0.130 0.611 0.896 O
0.130 0.889 0.396 O
0.193 0.710 0.613 O
0.193 0.790 0.113 O
0.312 0.128 0.089 O
0.312 0.372 0.589 O
0.313 0.221 0.371 O
0.313 0.279 0.871 O
0.380 0.664 0.443 O
0.380 0.836 0.943 O
0.468 0.091 0.626 O
0.468 0.409 0.126 O
0.532 0.591 0.874 O
0.532 0.909 0.374 O
0.620 0.164 0.057 O
0.620 0.336 0.557 O
0.687 0.721 0.129 O
0.687 0.779 0.629 O
0.688 0.628 0.411 O
0.688 0.872 0.911 O
0.807 0.210 0.887 O
0.807 0.290 0.387 O
0.870 0.111 0.604 O
0.870 0.389 0.104 O
0.954 0.086 0.147 O
0.954 0.414 0.647 O
```

Values from the calculation:
Uncorrected energy (eV/atom): -6.47
Space-group type: No. 14

---

Entry 10:
First-principles (GGA-PBE) data for a relaxed Sb2Pt2O5 crystal, as listed in OQMD.

Geometry as POSCAR:
```
Sb2Pt2O5
1.0
4.180 0.000 0.000
0.000 4.180 0.000
0.000 0.000 6.737
Sb Pt O
2 2 5
Direct
0.000 0.000 0.215 Sb
0.000 0.000 0.785 Sb
0.500 0.500 0.000 Pt
0.500 0.500 0.500 Pt
0.000 0.000 0.500 O
0.000 0.500 0.227 O
0.000 0.500 0.773 O
0.500 0.000 0.227 O
0.500 0.000 0.773 O
```

Values from the calculation:
Relative energy among the computed polymorphs (meV/atom): 168
Space-group type: No. 123
Spin magnetization (Bohr magnetons per cell): 2.16

---

Entry 11:
First-principles (GGA-PBE) data for a relaxed HfZnPt2 crystal, as listed in OQMD.

Geometry as POSCAR:
```
HfZnPt2
1.0
0.000 3.211 3.211
3.211 0.000 3.211
3.211 3.211 0.000
Hf Zn Pt
1 1 2
Direct
0.000 0.000 0.000 Hf
0.750 0.750 0.750 Zn
0.250 0.250 0.250 Pt
0.500 0.500 0.500 Pt
```

Values from the calculation:
Uncorrected energy (eV/atom): -6.46
Space-group type: No. 216
Spin magnetization (Bohr magnetons per cell): 0.00

---

Entry 12:
First-principles (GGA-PBE) data for a relaxed Ni3Ag2 crystal, as listed in OQMD.

Geometry as POSCAR:
```
Ni3Ag2
1.0
3.109 1.795 4.620
-3.109 1.795 4.620
0.000 -3.589 4.620
Ni Ag
6 4
Direct
0.027 0.250 0.473 Ni
0.250 0.473 0.027 Ni
0.473 0.027 0.250 Ni
0.527 0.973 0.750 Ni
0.750 0.527 0.973 Ni
0.973 0.750 0.527 Ni
0.093 0.093 0.093 Ag
0.407 0.407 0.407 Ag
0.593 0.593 0.593 Ag
0.907 0.907 0.907 Ag
```

Values from the calculation:
Uncorrected energy (eV/atom): -3.78
Space-group type: No. 167
Spin magnetization (Bohr magnetons per cell): 2.63

---

Number 1: V 14.9 Å³ per atom, density 8.49 g/cm³. Number 2: V 19.3 Å³ per atom, density 7.17 g/cm³. Number 3: V 29.6 Å³ per atom, density 6.05 g/cm³. Number 4: V 26.7 Å³ per atom, density 10.37 g/cm³. Number 5: V 15.4 Å³ per atom, density 12.14 g/cm³. Number 6: V 18.1 Å³ per atom, density 7.27 g/cm³. Number 7: V 21.5 Å³ per atom, density 4.14 g/cm³. Number 8: V 21.2 Å³ per atom, density 5.38 g/cm³. Number 9: V 12.8 Å³ per atom, density 4.68 g/cm³. Number 10: V 13.1 Å³ per atom, density 10.07 g/cm³. Number 11: V 16.5 Å³ per atom, density 15.91 g/cm³. Number 12: V 15.5 Å³ per atom, density 8.41 g/cm³.